The following is a DFT calculation (GGA+U) of an optimized crystal structure of SrCaMnRuO6.

```
SrCaMnRuO6
1.0
5.614 0.000 0.000
0.000 5.700 0.000
-0.074 0.000 7.668
Sr Ca Mn Ru O
2 2 2 2 12
Direct
0.244 0.000 0.000
0.756 0.500 0.000
0.258 0.910 0.499
0.742 0.410 0.501
0.248 0.460 0.746
0.752 0.960 0.254
0.249 0.461 0.256
0.751 0.961 0.744
0.030 0.759 0.781
0.050 0.743 0.218
0.160 0.491 0.504
0.319 0.448 0.998
0.451 0.180 0.298
0.467 0.162 0.702
0.533 0.662 0.298
0.549 0.680 0.702
0.681 0.948 0.002
0.840 0.991 0.496
0.950 0.243 0.782
0.970 0.259 0.219
```

Properties
VASP energy, eV/cell: -139.08
Theoretical density, kg/m³: 5140
SG: P2_1 (4)